No. 1
VASP calculation (PBE-GGA) on crystalline Rb2InBiSb at its relaxed geometry.

Uncorrected formation energy, eV per atom: 0.29

Geometry as CIF:
```
data_Rb2InBiSb
_chemical_formula_sum 'Rb2 In1 Bi1 Sb1'
_space_group_name_H-M_alt 'P 4/m m m'
_space_group_IT_number 123
_space_group_name_Hall '-P 4 2'
_cell_length_a 7.164
_cell_length_b 7.164
_cell_length_c 5.517
_cell_angle_alpha 90.00
_cell_angle_beta 90.00
_cell_angle_gamma 90.00
loop_
_atom_site_label
_atom_site_fract_x
_atom_site_fract_y
_atom_site_fract_z
Rb1 0.000 0.500 0.000
In1 0.000 0.000 0.000
Bi1 0.000 0.000 0.500
Sb1 0.500 0.500 0.500
```



No. 2
VASP calculation (PBE-GGA) on crystalline Rb3InBi3Se8 at its relaxed geometry.

Uncorrected formation energy, eV per atom: -0.67

Geometry as CIF:
```
data_Rb3InBi3Se8
_chemical_formula_sum 'Rb9 In3 Bi9 Se24'
_space_group_name_H-M_alt 'R -3 m'
_space_group_IT_number 166
_space_group_name_Hall '-R 3 2"'
_cell_length_a 8.4241
_cell_length_b 8.4241
_cell_length_c 24.9818
_cell_angle_alpha 90.00
_cell_angle_beta 90.00
_cell_angle_gamma 120.00
loop_
_atom_site_label
_atom_site_fract_x
_atom_site_fract_y
_atom_site_fract_z
Rb1 0.0000 0.5000 0.0000
In1 0.0000 0.0000 0.5000
Bi1 0.0000 0.5000 0.5000
Se1 0.0000 0.0000 0.2341
Se2 0.0152 0.5076 0.2307
```



No. 3
VASP calculation (PBE-GGA) on crystalline Rb2InBiSe4 at its relaxed geometry.

Uncorrected formation energy, eV per atom: -0.78

Geometry as CIF:
```
data_Rb2InBiSe4
_chemical_formula_sum 'Rb4 In2 Bi2 Se8'
_space_group_name_H-M_alt 'I -4 2 m'
_space_group_IT_number 121
_space_group_name_Hall 'I -4 2'
_cell_length_a 8.524
_cell_length_b 8.524
_cell_length_c 7.373
_cell_angle_alpha 90.00
_cell_angle_beta 90.00
_cell_angle_gamma 90.00
loop_
_atom_site_label
_atom_site_fract_x
_atom_site_fract_y
_atom_site_fract_z
Rb1 0.000 0.500 0.000
In1 0.000 0.000 0.000
Bi1 0.000 0.000 0.500
Se1 0.171 0.171 0.771
```



No. 4
VASP calculation (PBE-GGA) on crystalline Rb4InBi3Se8 at its relaxed geometry.

Uncorrected formation energy, eV per atom: -0.79

Geometry as CIF:
```
data_Rb4InBi3Se8
_chemical_formula_sum 'Rb12 In3 Bi9 Se24'
_space_group_name_H-M_alt 'R -3 m'
_space_group_IT_number 166
_space_group_name_Hall '-R 3 2"'
_cell_length_a 8.6234
_cell_length_b 8.6234
_cell_length_c 24.1037
_cell_angle_alpha 90.00
_cell_angle_beta 90.00
_cell_angle_gamma 120.00
loop_
_atom_site_label
_atom_site_fract_x
_atom_site_fract_y
_atom_site_fract_z
Rb1 0.0000 0.0000 0.0000
Rb2 0.0000 0.5000 0.0000
In1 0.0000 0.0000 0.5000
Bi1 0.0000 0.5000 0.5000
Se1 0.0000 0.0000 0.2349
Se2 0.0138 0.5069 0.2322
```



No. 5
VASP calculation (PBE-GGA) on crystalline RbInSnBi2 at its relaxed geometry.

Formation energy from the elements, meV per atom: -173

Geometry as CIF:
```
data_RbInSnBi2
_chemical_formula_sum 'Rb2 In2 Sn2 Bi4'
_space_group_name_H-M_alt 'I -4 m 2'
_space_group_IT_number 119
_space_group_name_Hall 'I -4 -2'
_cell_length_a 5.347
_cell_length_b 5.347
_cell_length_c 13.634
_cell_angle_alpha 90.00
_cell_angle_beta 90.00
_cell_angle_gamma 90.00
loop_
_atom_site_label
_atom_site_fract_x
_atom_site_fract_y
_atom_site_fract_z
Rb1 0.000 0.000 0.000
In1 0.000 0.500 0.250
Sn1 0.000 0.500 0.750
Bi1 0.000 0.000 0.371
```



No. 6
VASP calculation (PBE-GGA) on crystalline Rb2In4SnBi3 at its relaxed geometry.

Formation energy from the elements, meV per atom: -163

Geometry as CIF:
```
data_Rb2In4SnBi3
_chemical_formula_sum 'Rb2 In4 Sn1 Bi3'
_space_group_name_H-M_alt 'P -4 m 2'
_space_group_IT_number 115
_space_group_name_Hall 'P -4 -2'
_cell_length_a 5.199
_cell_length_b 5.199
_cell_length_c 13.628
_cell_angle_alpha 90.00
_cell_angle_beta 90.00
_cell_angle_gamma 90.00
loop_
_atom_site_label
_atom_site_fract_x
_atom_site_fract_y
_atom_site_fract_z
Rb1 0.000 0.500 0.243
In1 0.000 0.000 0.500
In2 0.000 0.500 0.870
In3 0.500 0.500 0.500
Sn1 0.500 0.500 0.000
Bi1 0.000 0.000 0.000
Bi2 0.000 0.500 0.633
```



No. 7
VASP calculation (PBE-GGA) on crystalline Rb2In6SnBi at its relaxed geometry.

Formation energy from the elements, meV per atom: -57

Geometry as CIF:
```
data_Rb2In6SnBi
_chemical_formula_sum 'Rb2 In6 Sn1 Bi1'
_space_group_name_H-M_alt 'P -1'
_space_group_IT_number 2
_space_group_name_Hall '-P 1'
_cell_length_a 6.257
_cell_length_b 7.968
_cell_length_c 8.031
_cell_angle_alpha 67.14
_cell_angle_beta 67.15
_cell_angle_gamma 66.93
loop_
_atom_site_label
_atom_site_fract_x
_atom_site_fract_y
_atom_site_fract_z
Rb1 0.009 0.236 0.246
In1 0.005 0.676 0.313
In2 0.310 0.937 0.943
In3 0.493 0.324 0.687
Sn1 0.500 0.500 0.000
Bi1 0.500 0.000 0.500
```



No. 8
VASP calculation (PBE-GGA) on crystalline RbTaInBi2 at its relaxed geometry.

Formation energy from the elements, meV per atom: 1004

Geometry as CIF:
```
data_RbTaInBi2
_chemical_formula_sum 'Rb1 Ta1 In1 Bi2'
_space_group_name_H-M_alt 'P 4/m m m'
_space_group_IT_number 123
_space_group_name_Hall '-P 4 2'
_cell_length_a 5.922
_cell_length_b 5.922
_cell_length_c 5.458
_cell_angle_alpha 90.00
_cell_angle_beta 90.00
_cell_angle_gamma 90.00
loop_
_atom_site_label
_atom_site_fract_x
_atom_site_fract_y
_atom_site_fract_z
Rb1 0.000 0.000 0.000
Ta1 0.500 0.500 0.000
In1 0.500 0.500 0.500
Bi1 0.000 0.500 0.500
```



No. 9
VASP calculation (PBE-GGA) on crystalline RbTiIn2Bi at its relaxed geometry.

Formation energy from the elements, meV per atom: -28

Geometry as CIF:
```
data_RbTiIn2Bi
_chemical_formula_sum 'Rb1 Ti1 In2 Bi1'
_space_group_name_H-M_alt 'P 4/m m m'
_space_group_IT_number 123
_space_group_name_Hall '-P 4 2'
_cell_length_a 5.536
_cell_length_b 5.536
_cell_length_c 5.450
_cell_angle_alpha 90.00
_cell_angle_beta 90.00
_cell_angle_gamma 90.00
loop_
_atom_site_label
_atom_site_fract_x
_atom_site_fract_y
_atom_site_fract_z
Rb1 0.000 0.000 0.000
Ti1 0.500 0.500 0.500
In1 0.000 0.500 0.500
Bi1 0.500 0.500 0.000
```



No. 10
VASP calculation (PBE-GGA) on crystalline Rb2TlIn4Bi3 at its relaxed geometry.

Formation energy from the elements, meV per atom: -164

Geometry as CIF:
```
data_Rb2TlIn4Bi3
_chemical_formula_sum 'Rb2 Tl1 In4 Bi3'
_space_group_name_H-M_alt 'P -4 m 2'
_space_group_IT_number 115
_space_group_name_Hall 'P -4 -2'
_cell_length_a 5.227
_cell_length_b 5.227
_cell_length_c 13.742
_cell_angle_alpha 90.00
_cell_angle_beta 90.00
_cell_angle_gamma 90.00
loop_
_atom_site_label
_atom_site_fract_x
_atom_site_fract_y
_atom_site_fract_z
Rb1 0.000 0.500 0.248
Tl1 0.500 0.500 0.000
In1 0.000 0.000 0.500
In2 0.000 0.500 0.866
In3 0.500 0.500 0.500
Bi1 0.000 0.000 0.000
Bi2 0.000 0.500 0.630
```



No. 11
VASP calculation (PBE-GGA) on crystalline RbTlInBi2 at its relaxed geometry.

Energy relative to the lowest polymorph listed for this composition, eV/atom: 0.000
Formation energy from the elements, meV per atom: -190

Geometry as CIF:
```
data_RbTlInBi2
_chemical_formula_sum 'Rb2 Tl2 In2 Bi4'
_space_group_name_H-M_alt 'I -4 m 2'
_space_group_IT_number 119
_space_group_name_Hall 'I -4 -2'
_cell_length_a 5.315
_cell_length_b 5.315
_cell_length_c 13.731
_cell_angle_alpha 90.00
_cell_angle_beta 90.00
_cell_angle_gamma 90.00
loop_
_atom_site_label
_atom_site_fract_x
_atom_site_fract_y
_atom_site_fract_z
Rb1 0.000 0.000 0.000
Tl1 0.000 0.500 0.750
In1 0.000 0.500 0.250
Bi1 0.000 0.000 0.378
```



No. 12
VASP calculation (PBE-GGA) on crystalline RbTlInBi2 at its relaxed geometry.

Energy relative to the lowest polymorph listed for this composition, eV/atom: 1.035
Formation energy from the elements, meV per atom: 845

Geometry as CIF:
```
data_RbTlInBi2
_chemical_formula_sum 'Rb1 Tl1 In1 Bi2'
_space_group_name_H-M_alt 'P 4/m m m'
_space_group_IT_number 123
_space_group_name_Hall '-P 4 2'
_cell_length_a 6.308
_cell_length_b 6.308
_cell_length_c 6.250
_cell_angle_alpha 90.00
_cell_angle_beta 90.00
_cell_angle_gamma 90.00
loop_
_atom_site_label
_atom_site_fract_x
_atom_site_fract_y
_atom_site_fract_z
Rb1 0.000 0.000 0.000
Tl1 0.500 0.500 0.500
In1 0.000 0.000 0.500
Bi1 0.000 0.500 0.000
```



No. 13
VASP calculation (PBE-GGA) on crystalline Rb2Tl6InBi at its relaxed geometry.

Formation energy from the elements, meV per atom: -57

Geometry as CIF:
```
data_Rb2Tl6InBi
_chemical_formula_sum 'Rb2 Tl6 In1 Bi1'
_space_group_name_H-M_alt 'P -1'
_space_group_IT_number 2
_space_group_name_Hall '-P 1'
_cell_length_a 6.054
_cell_length_b 6.884
_cell_length_c 8.874
_cell_angle_alpha 73.81
_cell_angle_beta 84.29
_cell_angle_gamma 82.57
loop_
_atom_site_label
_atom_site_fract_x
_atom_site_fract_y
_atom_site_fract_z
Rb1 0.067 0.414 0.215
Tl1 0.095 0.836 0.385
Tl2 0.404 0.923 0.691
Tl3 0.474 0.260 0.900
In1 0.500 0.500 0.500
Bi1 0.000 0.000 0.000
```



No. 14
VASP calculation (PBE-GGA) on crystalline RbTlIn2Bi at its relaxed geometry.

Formation energy from the elements, meV per atom: -129

Geometry as CIF:
```
data_RbTlIn2Bi
_chemical_formula_sum 'Rb2 Tl2 In4 Bi2'
_space_group_name_H-M_alt 'I m m 2'
_space_group_IT_number 44
_space_group_name_Hall 'I 2 -2'
_cell_length_a 5.371
_cell_length_b 5.686
_cell_length_c 11.862
_cell_angle_alpha 90.00
_cell_angle_beta 90.00
_cell_angle_gamma 90.00
loop_
_atom_site_label
_atom_site_fract_x
_atom_site_fract_y
_atom_site_fract_z
Rb1 0.000 0.000 0.000
Tl1 0.000 0.500 0.736
In1 0.000 0.000 0.643
In2 0.000 0.500 0.259
Bi1 0.000 0.000 0.388
```



No. 15
VASP calculation (PBE-GGA) on crystalline RbZnInBi2 at its relaxed geometry.

Formation energy from the elements, meV per atom: -159

Geometry as CIF:
```
data_RbZnInBi2
_chemical_formula_sum 'Rb2 Zn2 In2 Bi4'
_space_group_name_H-M_alt 'I -4 m 2'
_space_group_IT_number 119
_space_group_name_Hall 'I -4 -2'
_cell_length_a 4.693
_cell_length_b 4.693
_cell_length_c 15.995
_cell_angle_alpha 90.00
_cell_angle_beta 90.00
_cell_angle_gamma 90.00
loop_
_atom_site_label
_atom_site_fract_x
_atom_site_fract_y
_atom_site_fract_z
Rb1 0.000 0.000 0.000
Zn1 0.000 0.500 0.750
In1 0.000 0.500 0.250
Bi1 0.000 0.000 0.366
```



No. 16
VASP calculation (PBE-GGA) on crystalline Rb2ZnInBi2 at its relaxed geometry.

Formation energy from the elements, meV per atom: -269

Geometry as CIF:
```
data_Rb2ZnInBi2
_chemical_formula_sum 'Rb8 Zn4 In4 Bi8'
_space_group_name_H-M_alt 'I b a m'
_space_group_IT_number 72
_space_group_name_Hall '-I 2 2c'
_cell_length_a 7.325
_cell_length_b 16.852
_cell_length_c 7.360
_cell_angle_alpha 90.00
_cell_angle_beta 90.00
_cell_angle_gamma 90.00
loop_
_atom_site_label
_atom_site_fract_x
_atom_site_fract_y
_atom_site_fract_z
Rb1 0.244 0.165 0.000
Zn1 0.000 0.500 0.250
In1 0.000 0.000 0.250
Bi1 0.228 0.405 0.000
```



No. 17
VASP calculation (PBE-GGA) on crystalline InRe2Bi2 at its relaxed geometry.

Energy relative to the lowest polymorph listed for this composition, eV/atom: 0.000
Formation energy from the elements, meV per atom: 572

Geometry as CIF:
```
data_InRe2Bi2
_chemical_formula_sum 'In2 Re4 Bi4'
_space_group_name_H-M_alt 'I 4/m m m'
_space_group_IT_number 139
_space_group_name_Hall '-I 4 2'
_cell_length_a 3.641
_cell_length_b 3.641
_cell_length_c 19.621
_cell_angle_alpha 90.00
_cell_angle_beta 90.00
_cell_angle_gamma 90.00
loop_
_atom_site_label
_atom_site_fract_x
_atom_site_fract_y
_atom_site_fract_z
In1 0.000 0.000 0.000
Re1 0.000 0.500 0.250
Bi1 0.000 0.000 0.370
```



No. 18
VASP calculation (PBE-GGA) on crystalline In3ReBi at its relaxed geometry.

Energy relative to the lowest polymorph listed for this composition, eV/atom: 1.072
Formation energy from the elements, meV per atom: 1722

Geometry as CIF:
```
data_In3ReBi
_chemical_formula_sum 'In3 Re1 Bi1'
_space_group_name_H-M_alt 'P m -3 m'
_space_group_IT_number 221
_space_group_name_Hall '-P 4 2 3'
_cell_length_a 5.793
_cell_length_b 5.793
_cell_length_c 5.793
_cell_angle_alpha 90.00
_cell_angle_beta 90.00
_cell_angle_gamma 90.00
loop_
_atom_site_label
_atom_site_fract_x
_atom_site_fract_y
_atom_site_fract_z
In1 0.000 0.000 0.500
Re1 0.500 0.500 0.500
Bi1 0.000 0.000 0.000
```



No. 19
VASP calculation (PBE-GGA) on crystalline In2ReBi2 at its relaxed geometry.

Energy relative to the lowest polymorph listed for this composition, eV/atom: 0.000
Formation energy from the elements, meV per atom: 774

Geometry as CIF:
```
data_In2ReBi2
_chemical_formula_sum 'In4 Re2 Bi4'
_space_group_name_H-M_alt 'P 4/m b m'
_space_group_IT_number 127
_space_group_name_Hall '-P 4 2ab'
_cell_length_a 7.253
_cell_length_b 7.253
_cell_length_c 5.005
_cell_angle_alpha 90.00
_cell_angle_beta 90.00
_cell_angle_gamma 90.00
loop_
_atom_site_label
_atom_site_fract_x
_atom_site_fract_y
_atom_site_fract_z
In1 0.157 0.343 0.000
Re1 0.000 0.000 0.000
Bi1 0.162 0.662 0.500
```



No. 20
VASP calculation (PBE-GGA) on crystalline InRe3Bi at its relaxed geometry.

Energy relative to the lowest polymorph listed for this composition, eV/atom: 0.000
Formation energy from the elements, meV per atom: 2741

Geometry as CIF:
```
data_InRe3Bi
_chemical_formula_sum 'In1 Re3 Bi1'
_space_group_name_H-M_alt 'P m -3 m'
_space_group_IT_number 221
_space_group_name_Hall '-P 4 2 3'
_cell_length_a 4.911
_cell_length_b 4.911
_cell_length_c 4.911
_cell_angle_alpha 90.00
_cell_angle_beta 90.00
_cell_angle_gamma 90.00
loop_
_atom_site_label
_atom_site_fract_x
_atom_site_fract_y
_atom_site_fract_z
In1 0.000 0.000 0.000
Re1 0.000 0.000 0.500
Bi1 0.500 0.500 0.500
```